Compound: CaTm2Tc
Source: the Alexandria database
Functional: GGA-PBE
Structure: relaxed

Properties
Energy of formation from the pure elements   0.219 eV/atom
Energy above the lowest structure with this stoichiometry   256 meV/atom

a b c (Å): 3.5092 3.5092 32.0927
angles (deg): 90.00 90.00 120.00
Space group R-3m (No. 166, hexagonal axes)
Symmetry-distinct sites (fractional):
Ca: 0.0000 0.0000 0.0000 x3
Tm: 0.0000 0.0000 0.1068 x6
Tc: 0.0000 0.0000 0.5000 x3

Compound: Y2GePb
Source: the Alexandria database
Functional: GGA-PBE
Structure: relaxed

Properties
Energy of formation from the pure elements   -0.565 eV/atom

a b c (Å): 3.4406 3.4406 8.6304
angles (deg): 90.00 90.00 90.00
Space group P4/mmm (No. 123)
Symmetry-distinct sites (fractional):
Y: 0.0000 0.0000 0.2203 x2
Ge: 0.5000 0.5000 0.0000 x1
Pb: 0.5000 0.5000 0.5000 x1

Compound: Sc2CuPd2
Source: the Alexandria database
Functional: GGA-PBE
Structure: relaxed

Properties
Energy of formation from the pure elements   -0.621 eV/atom
Energy above the lowest structure with this stoichiometry   0 meV/atom

a b c (Å): 7.1244 7.1244 3.5727
angles (deg): 90.00 90.00 90.00
Space group P4/mbm (No. 127)
Symmetry-distinct sites (fractional):
Sc: 0.1686 0.3314 0.0000 x4
Cu: 0.0000 0.0000 0.5000 x2
Pd: 0.1371 0.6371 0.5000 x4

Compound: MgCrTeN2
Source: the Alexandria database
Functional: GGA-PBE
Structure: relaxed

Properties
Energy above the lowest structure with this stoichiometry   0 meV/atom
ΔE_f (raw)   0.323 eV/atom

a b c (Å): 3.7897 3.7897 5.5536
angles (deg): 90.00 90.00 90.00
Space group P4/mmm (No. 123)
Symmetry-distinct sites (fractional):
Mg: 0.0000 0.0000 0.0000 x1
Cr: 0.5000 0.5000 0.5000 x1
Te: 0.5000 0.5000 0.0000 x1
N: 0.0000 0.5000 0.5000 x2

Compound: Hg2BiPb2
Source: the Alexandria database
Functional: GGA-PBE
Structure: relaxed

Properties
Energy of formation from the pure elements   0.048 eV/atom
Energy above the lowest structure with this stoichiometry   0 meV/atom

a b c (Å): 8.1220 8.1220 4.5178
angles (deg): 90.00 90.00 90.00
Space group P4/mbm (No. 127)
Symmetry-distinct sites (fractional):
Hg: 0.1327 0.3673 0.0000 x4
Bi: 0.0000 0.0000 0.0000 x2
Pb: 0.1694 0.6694 0.5000 x4

Compound: K3PuSe4
Source: the Alexandria database
Functional: GGA-PBE
Structure: relaxed

Properties
ΔE_f (raw)   -1.187 eV/atom

a b c (Å): 8.1167 9.1571 7.5428
angles (deg): 90.00 109.71 90.00
Space group P2/c (No. 13)
Symmetry-distinct sites (fractional):
K: 0.0000 0.1160 0.2500 x2
K: 0.5000 0.1189 0.7500 x2
K: 0.5000 0.3829 0.2500 x2
Pu: 0.0000 0.3827 0.7500 x2
Se: 0.1953 0.3998 0.5021 x4
Se: 0.2207 0.1725 0.9567 x4

Compound: Ac4Nd3DyS8
Source: the Alexandria database
Functional: GGA-PBE
Structure: relaxed

Properties
ΔE_f (raw)   -1.999 eV/atom

a b c (Å): 8.3048 8.3048 20.5647
angles (deg): 90.00 90.00 120.00
Space group R-3m (No. 166, hexagonal axes)
Symmetry-distinct sites (fractional):
Ac: 0.0000 0.0000 0.0000 x3
Ac: 0.0000 0.5000 0.0000 x9
Nd: 0.0000 0.5000 0.5000 x9
Dy: 0.0000 0.0000 0.5000 x3
S: 0.0000 0.0000 0.2449 x6
S: 0.0081 0.5041 0.2430 x18

Compound: Ag4Cl3O
Source: the Alexandria database
Functional: GGA-PBE
Structure: relaxed

Properties
ΔE_f (raw)   -0.241 eV/atom

a b c (Å): 8.0781 7.1308 6.7894
angles (deg): 90.00 90.00 90.00
Space group Pmn2_1 (No. 31)
Symmetry-distinct sites (fractional):
Ag: 0.0000 0.1177 0.0000 x2
Ag: 0.0000 0.8395 0.5746 x2
Ag: 0.2170 0.6843 0.0092 x4
Cl: 0.0000 0.1603 0.3874 x2
Cl: 0.2494 0.6655 0.3927 x4
O: 0.0000 0.8290 0.8937 x2

Compound: ScMn
Source: the Alexandria database
Functional: GGA-PBE
Structure: relaxed

Properties
Energy of formation from the pure elements   0.306 eV/atom

a b c (Å): 3.0791 3.0791 9.1595
angles (deg): 90.00 90.00 120.00
Space group P-3m1 (No. 164)
Symmetry-distinct sites (fractional):
Sc: 0.3333 0.6667 0.3447 x2
Mn: 0.3333 0.6667 0.8900 x2

Compound: Ta3ReW
Source: the Alexandria database
Functional: GGA-PBE
Structure: relaxed

Properties
Energy of formation from the pure elements   1.731 eV/atom
Energy above the lowest structure with this stoichiometry   1891 meV/atom

a b c (Å): 4.7772 4.7772 4.7772
angles (deg): 90.00 90.00 90.00
Space group Pm-3m (No. 221)
Symmetry-distinct sites (fractional):
Ta: 0.0000 0.0000 0.5000 x3
Re: 0.0000 0.0000 0.0000 x1
W: 0.5000 0.5000 0.5000 x1

Compound: CuPb2W
Source: the Alexandria database
Functional: GGA-PBE
Structure: relaxed

Properties
Energy of formation from the pure elements   0.886 eV/atom
Energy above the lowest structure with this stoichiometry   345 meV/atom

a b c (Å): 3.7250 5.0253 9.0189
angles (deg): 90.00 90.00 90.00
Space group Cmmm (No. 65)
Symmetry-distinct sites (fractional):
Cu: 0.0000 0.0000 0.0000 x2
Pb: 0.0000 0.5000 0.2429 x4
W: 0.0000 0.0000 0.5000 x2

Compound: MnCd2Br6
Source: the Alexandria database
Functional: GGA-PBE
Structure: relaxed

Properties
Energy above the lowest structure with this stoichiometry   44 meV/atom
ΔE_f (raw)   -0.787 eV/atom

a b c (Å): 13.3641 4.1884 11.0489
angles (deg): 90.00 98.19 90.00
Space group C2/m (No. 12)
Symmetry-distinct sites (fractional):
Mn: 0.0000 0.0000 0.0000 x2
Cd: 0.2119 0.5000 0.7404 x4
Br: 0.0892 0.0000 0.2229 x4
Br: 0.1264 0.5000 0.9473 x4
Br: 0.1472 0.0000 0.6053 x4

Compound: TeRu
Source: the Alexandria database
Functional: GGA-PBE
Structure: relaxed

Properties
ΔE_f (raw)   0.300 eV/atom

a b c (Å): 5.8874 5.8874 5.8874
angles (deg): 90.00 90.00 90.00
Space group F-43m (No. 216)
Symmetry-distinct sites (fractional):
Te: 0.0000 0.0000 0.0000 x4
Ru: 0.2500 0.2500 0.2500 x4

Compound: ZrScP
Source: the Alexandria database
Functional: GGA-PBE
Structure: relaxed

Properties
Energy of formation from the pure elements   -0.946 eV/atom

a b c (Å): 10.1368 3.5894 7.3877
angles (deg): 90.00 120.80 90.00
Space group Cm (No. 8)
Symmetry-distinct sites (fractional):
Zr: 0.0000 0.0000 0.0000 x2
Zr: 0.2351 0.5000 0.4207 x2
Sc: 0.1575 0.0000 0.7256 x2
Sc: 0.4174 0.0000 0.3011 x2
P: 0.2303 0.5000 0.0408 x2
P: 0.4148 0.0000 0.6851 x2

Compound: VCoC2
Source: the Alexandria database
Functional: GGA-PBE
Structure: relaxed

Properties
Energy of formation from the pure elements   0.459 eV/atom

a b c (Å): 4.3535 4.3535 8.9555
angles (deg): 90.00 90.00 90.00
Space group I-42d (No. 122)
Symmetry-distinct sites (fractional):
V: 0.0000 0.0000 0.0000 x4
Co: 0.0000 0.0000 0.5000 x4
C: 0.2292 0.2500 0.6250 x8

Compound: CeHo4Er10
Source: the Alexandria database
Functional: GGA-PBE
Structure: relaxed

Properties
Energy of formation from the pure elements   0.761 eV/atom

a b c (Å): 12.0139 12.0139 7.5904
angles (deg): 90.00 90.00 90.00
Space group I4/m (No. 87)
Symmetry-distinct sites (fractional):
Ce: 0.0000 0.0000 0.0000 x2
Ho: 0.1013 0.2987 0.5000 x8
Er: 0.0000 0.5000 0.2500 x4
Er: 0.0982 0.8009 0.2480 x16

Compound: Cd2SnAuS4
Source: the Alexandria database
Functional: GGA-PBE
Structure: relaxed

Properties
ΔE_f (raw)   -0.332 eV/atom

a b c (Å): 8.4339 8.4454 11.8305
angles (deg): 90.00 90.00 90.00
Space group Fmm2 (No. 42)
Symmetry-distinct sites (fractional):
Cd: 0.2500 0.2500 0.0000 x8
Sn: 0.0000 0.0000 0.2502 x4
Au: 0.0000 0.0000 0.7492 x4
S: 0.0000 0.2443 0.6263 x8
S: 0.2441 0.0000 0.8741 x8

Compound: SmHo3Sc
Source: the Alexandria database
Functional: GGA-PBE
Structure: relaxed

Properties
Energy of formation from the pure elements   0.039 eV/atom
Energy above the lowest structure with this stoichiometry   0 meV/atom

a b c (Å): 3.4938 7.7940 11.5942
angles (deg): 78.11 89.93 77.17
Space group P-1 (No. 2)
Symmetry-distinct sites (fractional):
Sm: 0.2472 0.0068 0.2461 x2
Ho: 0.0493 0.4015 0.6536 x2
Ho: 0.1448 0.2108 0.9518 x2
Ho: 0.3505 0.7981 0.5499 x2
Sc: 0.4509 0.5970 0.8518 x2

Compound: ZrNbIrPt2
Source: the Alexandria database
Functional: GGA-PBE
Structure: relaxed

Properties
Energy of formation from the pure elements   0.739 eV/atom

a b c (Å): 4.9084 4.9084 4.6361
angles (deg): 90.00 90.00 90.00
Space group P4/mmm (No. 123)
Symmetry-distinct sites (fractional):
Zr: 0.0000 0.0000 0.0000 x1
Nb: 0.5000 0.5000 0.0000 x1
Ir: 0.5000 0.5000 0.5000 x1
Pt: 0.0000 0.5000 0.5000 x2

Compound: InAgP2Cl
Source: the Alexandria database
Functional: GGA-PBE
Structure: relaxed

Properties
Energy above the lowest structure with this stoichiometry   0 meV/atom
ΔE_f (raw)   0.600 eV/atom

a b c (Å): 4.8024 4.8024 5.8432
angles (deg): 90.00 90.00 90.00
Space group P4/mmm (No. 123)
Symmetry-distinct sites (fractional):
In: 0.0000 0.0000 0.0000 x1
Ag: 0.5000 0.5000 0.5000 x1
P: 0.0000 0.5000 0.5000 x2
Cl: 0.5000 0.5000 0.0000 x1